[1]
PBE Ba2ScCr, relaxed; distance to the lowest polymorph of the same formula = 0.000 eV per atom; SG = P4mm (99); calculated total energy = -18.025 eV per formula unit; DFT formation energy = 0.4438 eV per atom; total moment = 3.60 μB per formula unit
1.0
3.918 0.000 0.000
0.000 3.918 0.000
0.000 0.000 9.756
Ba Sc Cr
2 1 1
Direct
0.000 0.000 0.000
0.500 0.500 0.376
0.000 0.000 0.645
0.500 0.500 0.751

[2]
PBE RuPbCl2, relaxed; distance to the lowest polymorph of the same formula = 0.367 eV per atom; SG = Cmm2 (35); calculated total energy = -16.007 eV per formula unit; total moment = 0.00 μB per formula unit
1.0
3.497 0.000 0.000
0.000 6.089 0.000
0.000 0.000 9.203
Ru Pb Cl
2 2 4
Direct
0.000 0.000 0.000
0.500 0.500 0.000
0.000 0.500 0.761
0.500 0.000 0.761
0.000 0.000 0.529
0.000 0.500 0.166
0.500 0.000 0.166
0.500 0.500 0.529

Question: Which value of total moment does entry 1 give?
Answer: 3.60 μB per formula unit

Question: Which of these has the lowest total moment?
Answer: RuPbCl2

Copy entry 2 word for word.
PBE RuPbCl2, relaxed; distance to the lowest polymorph of the same formula = 0.367 eV per atom; SG = Cmm2 (35); calculated total energy = -16.007 eV per formula unit; total moment = 0.00 μB per formula unit
1.0
3.497 0.000 0.000
0.000 6.089 0.000
0.000 0.000 9.203
Ru Pb Cl
2 2 4
Direct
0.000 0.000 0.000
0.500 0.500 0.000
0.000 0.500 0.761
0.500 0.000 0.761
0.000 0.000 0.529
0.000 0.500 0.166
0.500 0.000 0.166
0.500 0.500 0.529